# 1
Here is an optimized crystal structure of MnRe2Ni from Alexandria. Energies are from PBE.

Values from the calculation:
Calculated formation energy (eV per formula unit): 0.6
Offset from the most stable computed form (meV/atom): 124.5
Space-group type: No. 216
Spin magnetization (μB/f.u.): 2.9

a = 4.2608 Å, b = 4.2608 Å, c = 4.2608 Å
α = 60.00°, β = 60.00°, γ = 60.00°
With the nearest neighbours (Å) after each atom.
Sites, in units of the cell vectors:
Mn: 0.0000 0.0000 0.0000  4 Re 2.61, 4 Ni 2.61
Re: 0.2500 0.2500 0.2500  4 Mn 2.61, 4 Re 2.61
Re: 0.5000 0.5000 0.5000  4 Re 2.61, 4 Ni 2.61
Ni: 0.7500 0.7500 0.7500  4 Mn 2.61, 4 Re 2.61



# 2
Here is an optimized crystal structure of Al2ZnCd from Alexandria. Energies are from PBE.

Values from the calculation:
Calculated formation energy (eV per formula unit): 0.6
Offset from the most stable computed form (meV/atom): 94.2
Space-group type: No. 44
Spin magnetization (μB/f.u.): 0.0

a = 5.7989 Å, b = 5.7989 Å, c = 5.7989 Å
α = 151.24°, β = 126.60°, γ = 61.78°
With the nearest neighbours (Å) after each atom.
Sites, in units of the cell vectors:
Al: 0.0000 0.0000 0.0000  2 Zn 2.71, 4 Al 2.82-2.88, 4 Cd 2.98
Al: 0.7564 0.2564 0.5000  4 Al 2.82-2.88, 4 Zn 2.99, 2 Cd 3.04
Zn: 0.2305 0.7305 0.5000  6 Al 2.71-2.99, 2 Zn 2.88, 2 Cd 2.94
Cd: 0.4876 0.4876 0.0000  2 Cd 2.88, 2 Zn 2.94, 6 Al 2.98-3.04



# 3
Here is an optimized crystal structure of KOsSeBr2 from Alexandria. Energies are from PBE.

Values from the calculation:
Offset from the most stable computed form (meV/atom): 1680.6
ΔE_f (raw) (eV per atom): 1.41
Space-group type: No. 123
Spin magnetization (μB/f.u.): 7.0

a = 5.9324 Å, b = 5.9324 Å, c = 5.9433 Å
α = 90.00°, β = 90.00°, γ = 90.00°
With the nearest neighbours (Å) after each atom.
Sites, in units of the cell vectors:
K: 0.0000 0.0000 0.0000  4 Br 2.97, 2 Se 2.97
Os: 0.5000 0.5000 0.5000  4 Se 4.19, 8 Br 4.20
Se: 0.0000 0.0000 0.5000  2 K 2.97
Br: 0.0000 0.5000 0.0000  2 K 2.97
Br: 0.5000 0.0000 0.0000  2 K 2.97



# 4
Here is an optimized crystal structure of TaRhIO2 from Alexandria. Energies are from PBE.

Values from the calculation:
Offset from the most stable computed form (meV/atom): 0.0
ΔE_f (raw) (eV per atom): -1.03
Space-group type: No. 123
Spin magnetization (μB/f.u.): 0.5

a = 3.8803 Å, b = 3.8803 Å, c = 6.1621 Å
α = 90.00°, β = 90.00°, γ = 90.00°
With the nearest neighbours (Å) after each atom.
Sites, in units of the cell vectors:
Ta: 0.0000 0.0000 0.0000  4 O 1.94
Rh: 0.5000 0.5000 0.5000  4 I 2.74
I: 0.0000 0.0000 0.5000  4 Rh 2.74
O: 0.0000 0.5000 0.0000  2 Ta 1.94
O: 0.5000 0.0000 0.0000  2 Ta 1.94



# 5
Here is an optimized crystal structure of PrTm4Hg from Alexandria. Energies are from PBE.

Values from the calculation:
Calculated formation energy (eV per formula unit): -0.8
Offset from the most stable computed form (meV/atom): 0.0
Space-group type: No. 123
Spin magnetization (μB/f.u.): 0.0

a = 3.5601 Å, b = 3.5601 Å, c = 13.9571 Å
α = 90.00°, β = 90.00°, γ = 90.00°
With the nearest neighbours (Å) after each atom.
Sites, in units of the cell vectors:
Pr: 0.0000 0.0000 0.0000  4 Pr 3.56, 8 Tm 3.58
Tm: 0.0000 0.0000 0.3585  4 Hg 3.20, 8 Tm 3.52-3.56
Tm: 0.0000 0.0000 0.6415  4 Hg 3.20, 8 Tm 3.52-3.56
Tm: 0.5000 0.5000 0.1820  8 Tm 3.52-3.56, 4 Pr 3.58
Tm: 0.5000 0.5000 0.8180  8 Tm 3.52-3.56, 4 Pr 3.58
Hg: 0.5000 0.5000 0.5000  8 Tm 3.20, 4 Hg 3.56



# 6
Here is an optimized crystal structure of PrCuGe2Pt5 from Alexandria. Energies are from PBE.

Values from the calculation:
Calculated formation energy (eV per formula unit): -3.9
Space-group type: No. 123
Spin magnetization (μB/f.u.): 0.0

a = 4.1895 Å, b = 4.1895 Å, c = 9.3467 Å
α = 90.00°, β = 90.00°, γ = 90.00°
With the nearest neighbours (Å) after each atom.
Sites, in units of the cell vectors:
Pr: 0.0000 0.0000 0.0000  12 Pt 2.96-3.04
Cu: 0.0000 0.0000 0.5000  8 Ge 3.19, 8 Pt 3.24
Ge: 0.5000 0.5000 0.3727  1 Ge 2.38, 4 Pt 2.46
Ge: 0.5000 0.5000 0.6273  1 Ge 2.38, 4 Pt 2.46
Pt: 0.0000 0.5000 0.2353  2 Ge 2.46
Pt: 0.0000 0.5000 0.7647  2 Ge 2.46
Pt: 0.5000 0.0000 0.2353  2 Ge 2.46
Pt: 0.5000 0.0000 0.7647  2 Ge 2.46
Pt: 0.5000 0.5000 0.0000  4 Pr 2.96, 8 Pt 3.04



# 7
Here is an optimized crystal structure of Ac3NdHg6 from Alexandria. Energies are from PBE.

Values from the calculation:
Calculated formation energy (eV per formula unit): -4.3
Offset from the most stable computed form (meV/atom): 0.0
Space-group type: No. 11
Spin magnetization (μB/f.u.): 0.0

a = 9.9059 Å, b = 5.4552 Å, c = 11.9203 Å
α = 90.00°, β = 108.60°, γ = 90.00°
With the nearest neighbours (Å) after each atom.
Sites, in units of the cell vectors:
Ac: 0.0081 0.2500 0.3812  5 Hg 3.24-3.59
Ac: 0.1511 0.7500 0.2140  7 Hg 3.31-3.46
Ac: 0.2799 0.2500 0.9885  9 Hg 3.30-3.67
Ac: 0.7201 0.7500 0.0115  9 Hg 3.30-3.67
Ac: 0.8489 0.2500 0.7860  7 Hg 3.31-3.46
Ac: 0.9919 0.7500 0.6188  5 Hg 3.24-3.59
Nd: 0.4391 0.2500 0.6005  7 Hg 3.16-3.34
Nd: 0.5609 0.7500 0.3995  7 Hg 3.16-3.34
Hg: 0.0342 0.7500 0.9165  7 Ac 3.36-3.64, 2 Hg 3.57
Hg: 0.1749 0.2500 0.6961  1 Nd 3.17, 3 Ac 3.24-3.30, 2 Hg 3.33
Hg: 0.2651 0.7500 0.5073  3 Nd 3.23-3.55, 2 Ac 3.31-3.38, 1 Hg 3.43
Hg: 0.3605 0.2500 0.3112  3 Nd 3.28-3.34, 3 Ac 3.40-3.67, 2 Hg 3.50-3.65
Hg: 0.3615 0.7500 0.8103  7 Hg 3.28-3.51, 2 Ac 3.60-3.64
Hg: 0.4467 0.7500 0.1196  1 Nd 3.16, 3 Hg 3.28-3.51, 4 Ac 3.31-3.46
Hg: 0.5533 0.2500 0.8804  1 Nd 3.16, 3 Hg 3.28-3.51, 4 Ac 3.31-3.46
Hg: 0.6385 0.2500 0.1897  7 Hg 3.28-3.51, 2 Ac 3.60-3.64
Hg: 0.6395 0.7500 0.6888  3 Nd 3.28-3.34, 3 Ac 3.40-3.67, 2 Hg 3.50-3.65
Hg: 0.7349 0.2500 0.4927  3 Nd 3.23-3.55, 2 Ac 3.31-3.38, 1 Hg 3.43
Hg: 0.8251 0.7500 0.3039  1 Nd 3.17, 3 Ac 3.24-3.30, 2 Hg 3.33
Hg: 0.9658 0.2500 0.0835  7 Ac 3.36-3.64, 2 Hg 3.57



# 8
Here is an optimized crystal structure of TbPr6Dy2Y3 from Alexandria. Energies are from PBE.

Values from the calculation:
Calculated formation energy (eV per formula unit): 0.1
Space-group type: No. 12
Spin magnetization (μB/f.u.): 0.0

a = 6.3237 Å, b = 6.3237 Å, c = 11.9218 Å
α = 95.06°, β = 95.06°, γ = 120.00°
With the nearest neighbours (Å) after each atom.
Sites, in units of the cell vectors:
Tb: 0.0000 0.0000 0.0000  6 Pr 3.60-3.61, 6 Dy 3.65
Pr: 0.0834 0.4169 0.2492  2 Dy 3.60-3.61, 1 Tb 3.61, 3 Y 3.62, 6 Pr 3.65
Pr: 0.2500 0.2500 0.7507  1 Tb 3.60, 2 Dy 3.61, 3 Y 3.62, 6 Pr 3.65
Pr: 0.4169 0.0834 0.2492  2 Dy 3.60-3.61, 1 Tb 3.61, 3 Y 3.62, 6 Pr 3.65
Pr: 0.5831 0.9166 0.7508  2 Dy 3.60-3.61, 1 Tb 3.61, 3 Y 3.62, 6 Pr 3.65
Pr: 0.7500 0.7500 0.2493  1 Tb 3.60, 2 Dy 3.61, 3 Y 3.62, 6 Pr 3.65
Pr: 0.9166 0.5831 0.7508  2 Dy 3.60-3.61, 1 Tb 3.61, 3 Y 3.62, 6 Pr 3.65
Dy: 0.3334 0.6666 0.0000  6 Pr 3.60-3.61, 3 Dy 3.65, 3 Tb 3.65
Dy: 0.6666 0.3334 0.0000  6 Pr 3.60-3.61, 3 Dy 3.65, 3 Tb 3.65
Y: 0.1668 0.8332 0.5000  6 Pr 3.62, 6 Y 3.65
Y: 0.5000 0.5000 0.5000  6 Pr 3.62, 6 Y 3.65
Y: 0.8332 0.1668 0.5000  6 Pr 3.62, 6 Y 3.65